1.
Compound: NaLi2PtPb
Source: Alexandria via LeMat-Bulk
Functional: GGA-PBE
Structure: relaxed

The structure belongs to space group P4/mmm (No. 123); the cell edges are 4.945, 4.945 and 5.194 Å and the angles 90.00°, 90.00° and 90.00°. Symmetry generates all atoms from Na at (0.000, 0.000, 0.000), Li at (0.000, 0.500, 0.500), Pt at (0.500, 0.500, 0.500) and Pb at (0.500, 0.500, 0.000).

For the final energy, the calculation gives -16.073 eV/f.u. For the total magnetization, the calculation gives 0.00 μB per formula unit. The density of states at the Fermi level comes out at 1.217 states/eV/cell.

***

2.
Compound: NaLiPuPb
Source: Alexandria via LeMat-Bulk
Functional: GGA-PBE
Structure: relaxed

The structure belongs to space group F-43m (No. 216); the cell edges are 7.548, 7.548 and 7.548 Å and the angles 90.00°, 90.00° and 90.00°. Symmetry generates all atoms from Na at (0.000, 0.000, 0.000), Li at (0.250, 0.250, 0.750), Pu at (0.000, 0.000, 0.500) and Pb at (0.250, 0.250, 0.250).

For the final energy, the calculation gives -21.102 eV/f.u. For the total magnetization, the calculation gives 5.99 μB per formula unit. The density of states at the Fermi level comes out at 50.770 states/eV/cell.

***

3.
Compound: RbNa2LiPb
Source: Alexandria via LeMat-Bulk
Functional: GGA-PBE
Structure: relaxed

The structure belongs to space group P4/mmm (No. 123); the cell edges are 5.869, 5.869 and 5.286 Å and the angles 90.00°, 90.00° and 90.00°. Symmetry generates all atoms from Rb at (0.000, 0.000, 0.000), Na at (0.000, 0.500, 0.500), Li at (0.500, 0.500, 0.500) and Pb at (0.500, 0.500, 0.000).

For the final energy, the calculation gives -9.311 eV/f.u. For the total magnetization, the calculation gives 0.00 μB per formula unit. The density of states at the Fermi level comes out at 1.893 states/eV/cell.

***

4.
Compound: RbNa2LiPb
Source: Alexandria via LeMat-Bulk
Functional: GGA-PBE
Structure: relaxed

The structure belongs to space group P4/mmm (No. 123); the cell edges are 6.075, 6.075 and 5.551 Å and the angles 90.00°, 90.00° and 90.00°. Symmetry generates all atoms from Rb at (0.000, 0.000, 0.000), Na at (0.000, 0.500, 0.500), Li at (0.500, 0.500, 0.000) and Pb at (0.500, 0.500, 0.500).

For the final energy, the calculation gives -9.636 eV/f.u. For the total magnetization, the calculation gives 0.00 μB per formula unit. The density of states at the Fermi level comes out at 1.189 states/eV/cell.

***

5.
Compound: RbNaLiPb2
Source: Alexandria via LeMat-Bulk
Functional: GGA-PBE
Structure: relaxed

The structure belongs to space group P4/mmm (No. 123); the cell edges are 5.373, 5.373 and 5.750 Å and the angles 90.00°, 90.00° and 90.00°. Symmetry generates all atoms from Rb at (0.000, 0.000, 0.000), Na at (0.500, 0.500, 0.000), Li at (0.500, 0.500, 0.500) and Pb at (0.000, 0.500, 0.500).

For the final energy, the calculation gives -11.794 eV/f.u. For the total magnetization, the calculation gives 0.00 μB per formula unit. The density of states at the Fermi level comes out at 1.270 states/eV/cell.

***

6.
Compound: NaLiPbS2
Source: Alexandria via LeMat-Bulk
Functional: GGA-PBE
Structure: relaxed

The structure belongs to space group C2/m (No. 12); the cell edges are 14.957, 4.108 and 7.895 Å and the angles 90.00°, 96.42° and 90.00°. Symmetry generates all atoms from Na at (0.207, 0.000, 0.305), Li at (0.193, 0.000, 0.923), Pb at (0.040, 0.500, 0.738), S at (0.142, 0.500, 0.047) and S at (0.144, 0.000, 0.622).

For the total magnetization, the calculation gives 0.00 μB per formula unit. The uncorrected formation energy comes out at -900 meV/atom. The density of states at the Fermi level comes out at 0.000 states/eV/cell.

***

7.
Compound: NaLi2Sb2Pb
Source: Alexandria via LeMat-Bulk
Functional: GGA-PBE
Structure: relaxed

The structure belongs to space group P-3m1 (No. 164); the cell edges are 5.0032, 5.0032 and 6.7058 Å and the angles 90.00°, 90.00° and 120.00°. Symmetry generates all atoms from Na at (0.0000, 0.0000, 0.0000), Li at (0.3333, 0.6667, 0.7509), Sb at (0.3333, 0.6667, 0.2262) and Pb at (0.0000, 0.0000, 0.5000).

For the total magnetization, the calculation gives 0.00 μB per formula unit. The uncorrected formation energy comes out at -339 meV/atom. The density of states at the Fermi level comes out at 2.950 states/eV/cell.

***

8.
Compound: Na2LiSiPb
Source: Alexandria via LeMat-Bulk
Functional: GGA-PBE
Structure: relaxed

The structure belongs to space group P4/mmm (No. 123); the cell edges are 5.107, 5.107 and 4.688 Å and the angles 90.00°, 90.00° and 90.00°. Symmetry generates all atoms from Na at (0.000, 0.500, 0.000), Li at (0.000, 0.000, 0.000), Si at (0.000, 0.000, 0.500) and Pb at (0.500, 0.500, 0.500).

For the total magnetization, the calculation gives 0.00 μB per formula unit. The uncorrected formation energy comes out at 237 meV/atom. The density of states at the Fermi level comes out at 2.158 states/eV/cell.

***

9.
Compound: Na2SrLiPb
Source: Alexandria via LeMat-Bulk
Functional: GGA-PBE
Structure: relaxed

The structure belongs to space group P4/mmm (No. 123); the cell edges are 5.424, 5.424 and 5.332 Å and the angles 90.00°, 90.00° and 90.00°. Symmetry generates all atoms from Na at (0.000, 0.500, 0.000), Sr at (0.000, 0.000, 0.500), Li at (0.500, 0.500, 0.000) and Pb at (0.500, 0.500, 0.500).

For the final energy, the calculation gives -10.371 eV/f.u. For the total magnetization, the calculation gives 0.00 μB per formula unit. The density of states at the Fermi level comes out at 3.033 states/eV/cell.

***

10.
Compound: Na2Sr2LiPb4
Source: Alexandria via LeMat-Bulk
Functional: GGA-PBE
Structure: relaxed

The structure belongs to space group I4/mmm (No. 139); the cell edges are 7.323, 7.323 and 10.132 Å and the angles 90.00°, 90.00° and 90.00°. Symmetry generates all atoms from Na at (0.000, 0.000, 0.224), Sr at (0.000, 0.500, 0.250), Li at (0.000, 0.000, 0.500) and Pb at (0.230, 0.230, 0.000).

For the final energy, the calculation gives -25.469 eV/f.u. For the total magnetization, the calculation gives 0.00 μB per formula unit. The density of states at the Fermi level comes out at 5.521 states/eV/cell.

***

11.
Compound: NaLiTbPb
Source: Alexandria via LeMat-Bulk
Functional: GGA-PBE
Structure: relaxed

The structure belongs to space group F-43m (No. 216); the cell edges are 7.467, 7.467 and 7.467 Å and the angles 90.00°, 90.00° and 90.00°. Symmetry generates all atoms from Na at (0.000, 0.000, 0.000), Li at (0.250, 0.250, 0.750), Tb at (0.000, 0.000, 0.500) and Pb at (0.250, 0.250, 0.250).

For the final energy, the calculation gives -12.289 eV/f.u. For the total magnetization, the calculation gives 0.00 μB per formula unit. The density of states at the Fermi level comes out at 10.603 states/eV/cell.

***

12.
Compound: NaLi2TePb
Source: Alexandria via LeMat-Bulk
Functional: GGA-PBE
Structure: relaxed

The structure belongs to space group P4/mmm (No. 123); the cell edges are 5.206, 5.206 and 5.695 Å and the angles 90.00°, 90.00° and 90.00°. Symmetry generates all atoms from Na at (0.000, 0.000, 0.000), Li at (0.000, 0.500, 0.500), Te at (0.500, 0.500, 0.000) and Pb at (0.000, 0.000, 0.500).

For the total magnetization, the calculation gives 0.00 μB per formula unit. The uncorrected formation energy comes out at 95 meV/atom. The density of states at the Fermi level comes out at 5.688 states/eV/cell.

***

13.
Compound: NaLiTlPb
Source: Alexandria via LeMat-Bulk
Functional: GGA-PBE
Structure: relaxed

The structure belongs to space group P4mm (No. 99); the cell edges are 3.543, 3.543 and 7.977 Å and the angles 90.00°, 90.00° and 90.00°. Symmetry generates all atoms from Na at (0.000, 0.000, 0.000), Li at (0.000, 0.000, 0.498), Tl at (0.500, 0.500, 0.282) and Pb at (0.500, 0.500, 0.713).

For the final energy, the calculation gives -10.082 eV/f.u. For the total magnetization, the calculation gives 0.00 μB per formula unit. The density of states at the Fermi level comes out at 1.653 states/eV/cell.